# 1
An optimized crystal structure of LuHF. Source: Alexandria via LeMat-Bulk, functional PBE.

Structure (POSCAR):
```
LuHF
1.0
0.000 2.632 2.632
2.632 0.000 2.632
2.632 2.632 0.000
Lu H F
1 1 1
Direct
0.000 0.000 0.000
0.750 0.750 0.750
0.250 0.250 0.250
```

Calculated values
- DOS at the Fermi energy (states/eV per atom) = 0.588
- SG = No. 216
- magnetization (μB/cell) = 0.09
- E (eV/cell) = -15.3

---

# 2
An optimized crystal structure of MgHF2. Source: Alexandria via LeMat-Bulk, functional PBE.

Structure (POSCAR):
```
MgHF2
1.0
1.562 0.902 7.252
-1.562 0.902 7.252
0.000 -1.803 7.252
Mg H F
1 1 2
Direct
0.000 0.000 0.000
0.500 0.500 0.500
0.376 0.376 0.376
0.624 0.624 0.624
```

Calculated values
- DOS at the Fermi energy (states/eV per atom) = 0.000
- SG = No. 166
- offset from the most stable computed form (eV/atom) = 0.0055
- magnetization (μB/cell) = 1.00